# 1
Here is an optimized crystal structure of RbOsRh from the Alexandria database. Energies are from PBE.

VASP energy = -71.1 eV per cell
Crystal system = monoclinic

Cell and atoms, written as CIF:
```
data_RbOsRh
_cell_length_a 7.0300
_cell_length_b 5.8568
_cell_length_c 8.3253
_cell_angle_alpha 90.00
_cell_angle_beta 90.05
_cell_angle_gamma 90.00
_symmetry_space_group_name_H-M 'C 1 2/m 1'
_symmetry_Int_Tables_number 12
loop_
_symmetry_equiv_pos_as_xyz
'x,y,z'
'-x,-y,-z'
'-x,y,-z'
'x,-y,z'
'x+1/2,y+1/2,z'
'-x+1/2,-y+1/2,-z'
'-x+1/2,y+1/2,-z'
'x+1/2,-y+1/2,z'
loop_
_atom_site_label
_atom_site_type_symbol
_atom_site_fract_x
_atom_site_fract_y
_atom_site_fract_z
Rb1 Rb 0.2458 0.0000 0.1602
Os1 Os 0.0000 0.2881 0.5000
Rh1 Rh 0.2108 0.0000 0.6145
```

=====

# 2
Here is an optimized crystal structure of LaTa3In from the Alexandria database. Energies are from PBE.

VASP energy = -32.7 eV per cell
Crystal system = cubic

Cell and atoms, written as CIF:
```
data_LaTa3In
_cell_length_a 4.9764
_cell_length_b 4.9764
_cell_length_c 4.9764
_cell_angle_alpha 90.00
_cell_angle_beta 90.00
_cell_angle_gamma 90.00
_symmetry_space_group_name_H-M 'P m -3 m'
_symmetry_Int_Tables_number 221
_symmetry_space_group_name_Hall '-P 4 2 3'
loop_
_atom_site_label
_atom_site_type_symbol
_atom_site_fract_x
_atom_site_fract_y
_atom_site_fract_z
La1 La 0.0000 0.0000 0.0000
Ta1 Ta 0.0000 0.0000 0.5000
In1 In 0.5000 0.5000 0.5000
```

=====

Computed values of density of states at the Fermi level (unit: states/eV per cell) for the preceding records, in sequence: 9.47; 5.67.
Computed values of E_form (unit: kJ per mole of atoms) for the preceding records, in sequence: 56.9; 202.1.